Record 1
Below is a relaxed structure of BeGeSe2Br, with properties calculated at the PBE-GGA level.

Cell: 5.016 5.016 5.135 Å, 90.00 90.00 90.00°
Fractional positions:
1 Be 0.000 0.000 0.000
2 Ge 0.500 0.500 0.500
3 Se 0.000 0.500 0.500
4 Se 0.500 0.000 0.500
5 Br 0.500 0.500 0.000

Values from the calculation:
- total moment (μB/cell) = 0.00
- energy relative to the elements, uncorrected (eV/f.u.) = 3.4
- total DFT energy (no corrections) (eV per atom) = -2.721
- ρ (g cm⁻³) = 4.106
- polymorph energy (0 for the lowest one) (meV/atom) = 560.8


Record 2
Below is a relaxed structure of Co3Sb, with properties calculated at the PBE-GGA level.

Cell: 5.724 5.724 3.917 Å, 90.00 90.00 100.54°
Fractional positions:
1 Co 0.036 0.643 0.250
2 Co 0.063 0.937 0.750
3 Co 0.357 0.964 0.250
4 Co 0.643 0.036 0.750
5 Co 0.937 0.063 0.250
6 Co 0.964 0.357 0.750
7 Sb 0.361 0.639 0.750
8 Sb 0.639 0.361 0.250

Values from the calculation:
- total moment (μB/cell) = 9.19
- energy relative to the elements, uncorrected (eV/f.u.) = 1.4
- total DFT energy (no corrections) (eV per atom) = -6.016
- ρ (g cm⁻³) = 7.859


Record 3
Below is a relaxed structure of Nd3ZrO, with properties calculated at the PBE-GGA level.

Cell: 5.005 5.005 5.005 Å, 90.00 90.00 90.00°
Fractional positions:
1 Nd 0.000 0.000 0.500
2 Nd 0.000 0.500 0.000
3 Nd 0.500 0.000 0.000
4 Zr 0.500 0.500 0.500
5 O 0.000 0.000 0.000

Values from the calculation:
- total moment (μB/cell) = 0.00
- energy relative to the elements, uncorrected (eV/f.u.) = -5.2
- total DFT energy (no corrections) (eV per atom) = -6.595
- ρ (g cm⁻³) = 7.151


Record 4
Below is a relaxed structure of MgAgMo2, with properties calculated at the PBE-GGA level.

Cell: 2.793 2.793 9.246 Å, 90.00 90.00 109.27°
Fractional positions:
1 Mg 0.000 0.000 0.000
2 Ag 0.500 0.500 0.254
3 Mo 0.000 0.000 0.517
4 Mo 0.500 0.500 0.742

Values from the calculation:
- total moment (μB/cell) = 0.00
- DFT formation energy (eV/f.u.) = 0.75
- total DFT energy (no corrections) (eV per atom) = -6.339
- ρ (g cm⁻³) = 7.905


Record 5
Below is a relaxed structure of CoAg3Mo, with properties calculated at the PBE-GGA level.

Cell: 5.115 5.115 5.115 Å, 90.00 90.00 90.00°
Fractional positions:
1 Co 0.000 0.000 0.000
2 Ag 0.000 0.500 0.500
3 Ag 0.500 0.000 0.500
4 Ag 0.500 0.500 0.000
5 Mo 0.500 0.500 0.500

Values from the calculation:
- total moment (μB/cell) = 5.67
- DFT formation energy (eV/f.u.) = 10.22
- total DFT energy (no corrections) (eV per atom) = -3.255
- ρ (g cm⁻³) = 5.938
- polymorph energy (0 for the lowest one) (meV/atom) = 619.4


Record 6
Below is a relaxed structure of Dy2Hf3Pt4, with properties calculated at the PBE-GGA level.

Cell: 7.131 7.269 7.843 Å, 90.00 110.77 90.00°
Fractional positions:
1 Dy 0.195 0.171 0.085
2 Dy 0.195 0.329 0.585
3 Dy 0.805 0.671 0.415
4 Dy 0.805 0.829 0.915
5 Hf 0.249 0.650 0.252
6 Hf 0.249 0.850 0.752
7 Hf 0.500 0.000 0.500
8 Hf 0.500 0.500 0.000
9 Hf 0.751 0.150 0.248
10 Hf 0.751 0.350 0.748
11 Pt 0.098 0.553 0.876
12 Pt 0.098 0.947 0.376
13 Pt 0.488 0.643 0.620
14 Pt 0.488 0.857 0.120
15 Pt 0.512 0.143 0.880
16 Pt 0.512 0.357 0.380
17 Pt 0.902 0.053 0.624
18 Pt 0.902 0.447 0.124

Values from the calculation:
- total moment (μB/cell) = 0.00
- DFT formation energy (eV/f.u.) = -9.77
- total DFT energy (no corrections) (eV per atom) = -8.111
- ρ (g cm⁻³) = 14.334


Record 7
Below is a relaxed structure of La3Bi2, with properties calculated at the PBE-GGA level.

Cell: 8.401 8.401 8.401 Å, 113.26 85.08 133.70°
Fractional positions:
1 La 0.148 0.641 0.789
2 La 0.250 0.250 0.000
3 La 0.352 0.141 0.494
4 La 0.648 0.859 0.506
5 La 0.750 0.750 0.000
6 La 0.852 0.359 0.211
7 Bi 0.113 0.284 0.397
8 Bi 0.387 0.784 0.171
9 Bi 0.613 0.216 0.829
10 Bi 0.887 0.716 0.603

Values from the calculation:
- total moment (μB/cell) = 0.17
- DFT formation energy (eV/f.u.) = -3.69
- total DFT energy (no corrections) (eV per atom) = -5.247
- ρ (g cm⁻³) = 7.335
- polymorph energy (0 for the lowest one) (meV/atom) = 11.7


Record 8
Below is a relaxed structure of ScPaMnRe, with properties calculated at the PBE-GGA level.

Cell: 4.701 4.701 4.701 Å, 60.00 60.00 60.00°
Fractional positions:
1 Sc 0.000 0.000 0.000
2 Pa 0.500 0.500 0.500
3 Mn 0.250 0.250 0.250
4 Re 0.750 0.750 0.750

Values from the calculation:
- total moment (μB/cell) = 1.84
- DFT formation energy (eV/f.u.) = -0.22
- total DFT energy (no corrections) (eV per atom) = -9.416
- ρ (g cm⁻³) = 11.686


Record 9
Below is a relaxed structure of KNdTcN3, with properties calculated at the PBE-GGA level.

Cell: 7.167 7.167 7.841 Å, 104.84 104.84 31.89°
Fractional positions:
1 K 0.139 0.139 0.071
2 K 0.861 0.861 0.929
3 Nd 0.161 0.161 0.584
4 Nd 0.839 0.839 0.416
5 Tc 0.497 0.497 0.672
6 Tc 0.503 0.503 0.328
7 N 0.010 0.010 0.327
8 N 0.344 0.344 0.628
9 N 0.368 0.368 0.207
10 N 0.632 0.632 0.793
11 N 0.656 0.656 0.372
12 N 0.990 0.990 0.673

Values from the calculation:
- total moment (μB/cell) = 0.00
- energy relative to the elements, uncorrected (eV/f.u.) = -2.4
- total DFT energy (no corrections) (eV per atom) = -7.274
- ρ (g cm⁻³) = 5.236


Record 10
Below is a relaxed structure of NaAc2PuS6, with properties calculated at the PBE-GGA level.

Cell: 6.900 7.621 11.881 Å, 90.00 123.21 90.00°
Fractional positions:
1 Na 0.000 0.000 0.000
2 Na 0.000 0.500 0.500
3 Ac 0.211 0.092 0.746
4 Ac 0.211 0.408 0.246
5 Ac 0.789 0.592 0.754
6 Ac 0.789 0.908 0.254
7 Pu 0.500 0.000 0.500
8 Pu 0.500 0.500 0.000
9 S 0.136 0.176 0.444
10 S 0.136 0.324 0.944
11 S 0.263 0.704 0.432
12 S 0.263 0.796 0.932
13 S 0.387 0.046 0.256
14 S 0.387 0.454 0.756
15 S 0.613 0.546 0.244
16 S 0.613 0.954 0.744
17 S 0.737 0.204 0.068
18 S 0.737 0.296 0.568
19 S 0.864 0.676 0.056
20 S 0.864 0.824 0.556

Values from the calculation:
- total moment (μB/cell) = 6.00
- energy relative to the elements, uncorrected (eV/f.u.) = -16.6
- total DFT energy (no corrections) (eV per atom) = -6.528
- ρ (g cm⁻³) = 5.803


Record 11
Below is a relaxed structure of Ce2ErSe3, with properties calculated at the PBE-GGA level.

Cell: 9.217 9.217 9.217 Å, 153.80 153.80 37.40°
Fractional positions:
1 Ce 0.168 0.168 0.000
2 Ce 0.832 0.832 0.000
3 Er 0.500 0.500 0.000
4 Se 0.000 0.000 0.000
5 Se 0.338 0.338 0.000
6 Se 0.662 0.662 0.000

Values from the calculation:
- total moment (μB/cell) = 1.94
- energy relative to the elements, uncorrected (eV/f.u.) = -10.9
- total DFT energy (no corrections) (eV per atom) = -6.298
- ρ (g cm⁻³) = 7.455


Record 12
Below is a relaxed structure of ThScCu, with properties calculated at the PBE-GGA level.

Cell: 6.450 6.450 6.450 Å, 149.49 149.49 43.70°
Fractional positions:
1 Th 0.000 0.000 0.000
2 Sc 0.294 0.294 0.000
3 Cu 0.673 0.673 0.000

Values from the calculation:
- total moment (μB/cell) = 0.00
- DFT formation energy (eV/f.u.) = -0.21
- total DFT energy (no corrections) (eV per atom) = -6.018
- ρ (g cm⁻³) = 8.198
- polymorph energy (0 for the lowest one) (meV/atom) = 0.0


Repeat the second record exactly.
Below is a relaxed structure of Co3Sb, with properties calculated at the PBE-GGA level.

Cell: 5.724 5.724 3.917 Å, 90.00 90.00 100.54°
Fractional positions:
1 Co 0.036 0.643 0.250
2 Co 0.063 0.937 0.750
3 Co 0.357 0.964 0.250
4 Co 0.643 0.036 0.750
5 Co 0.937 0.063 0.250
6 Co 0.964 0.357 0.750
7 Sb 0.361 0.639 0.750
8 Sb 0.639 0.361 0.250

Values from the calculation:
- total moment (μB/cell) = 9.19
- energy relative to the elements, uncorrected (eV/f.u.) = 1.4
- total DFT energy (no corrections) (eV per atom) = -6.016
- ρ (g cm⁻³) = 7.859


> Number 10 is which compound?

NaAc2PuS6


> What is the formula in the fourth record?

MgAgMo2


> Which formula does entry 11 have?

Ce2ErSe3